A relaxed TmZr2NpN4 crystal. Source: Alexandria, functional PBE.

Unit cell a=4.718 b=4.718 c=5.778 alpha=114.10 beta=114.10 gamma=90.00
Positions (direct):
1 Tm 0.500 0.500 0.000
2 Zr 0.250 0.750 0.500
3 Zr 0.000 0.000 0.000
4 Np 0.750 0.250 0.500
5 N 0.999 0.499 0.997
6 N 0.501 0.001 0.003
7 N 0.752 0.752 0.505
8 N 0.248 0.248 0.495

Energy relative to the elements, uncorrected, eV per atom: -1.598
Energy, eV/atom: -10.07